Material: Rb2NiO
Method: DFT, PBE+U
State: optimized geometry

a b c (Å): 11.585 11.585 8.416
angles (deg): 46.50 46.50 90.00
Positions (direct):
Ni1 0.000 0.000 0.000
Ni2 0.750 0.250 0.500
O1 0.500 0.500 0.000
O2 0.250 0.750 0.500
Rb1 0.402 0.125 0.250
Rb2 0.348 0.625 0.250
Rb3 0.375 0.598 0.750
Rb4 0.875 0.652 0.750

Results
Raw total energy (Ha/atom): -0.10021
Total moment (μB/atom): 0.148